Record 1
## V3TcAg (PBE-GGA)

Data for a relaxed structure of V3TcAg.

Computed properties:
The distance to the lowest polymorph of the same formula comes out at 0 meV per atom. The value obtained for the formation enthalpy at 0 K is 1.078 eV/atom. The crystal system is cubic.

Lattice parameters (Å, degrees): 4.535 4.535 4.535 90.00 90.00 90.00
Space group Pm-3m (No. 221)
Symmetry-distinct sites (fractional):
V 0.000 0.000 0.500 x3
Tc 0.000 0.000 0.000 x1
Ag 0.500 0.500 0.500 x1

Record 2
## PuCu4Si2 (PBE-GGA)

Data for a relaxed structure of PuCu4Si2.

Computed properties:
The value obtained for the energy relative to the elements, uncorrected is -234 meV per atom. The crystal system is tetragonal.

Lattice parameters (Å, degrees): 7.305 7.305 3.874 90.00 90.00 90.00
Space group P4_2/mnm (No. 136)
Symmetry-distinct sites (fractional):
Pu 0.000 0.000 0.000 x2
Cu 0.089 0.343 0.500 x8
Si 0.217 0.783 0.500 x4

Record 3
## KRb2As (PBE-GGA)

Data for a relaxed structure of KRb2As.

Computed properties:
The value obtained for the formation enthalpy at 0 K is -0.224 eV/atom. The crystal system is orthorhombic.

Lattice parameters (Å, degrees): 6.255 15.074 8.079 90.00 90.00 90.00
Space group Cmcm (No. 63)
Symmetry-distinct sites (fractional):
K 0.000 0.056 0.250 x4
Rb 0.000 0.335 0.024 x8
As 0.000 0.155 0.750 x4